No. 1
Entry from the Alexandria database: a relaxed AcIn2GeRu2 crystal (GGA-PBE). Values from VASP.

```
&SYSTEM
  ibrav = 0, nat = 6, ntyp = 4
/
ATOMIC_SPECIES
Ac 227.00 Ac.upf
In 114.82 In.upf
Ge 72.64 Ge.upf
Ru 101.07 Ru.upf
CELL_PARAMETERS angstrom
-2.305 3.460 -2.132
-2.591 -3.139 -2.295
-4.210 0.067 4.662
ATOMIC_POSITIONS angstrom
Ac -2.105 0.033 2.331
In -5.563 0.210 1.236
In -3.543 0.178 -1.000
Ge 0.000 0.000 0.000
Ru -1.153 1.730 -1.066
Ru -1.295 -1.570 -1.147
```

Calculated values
The calculation puts the formation energy at -0.2181 eV per atom. Its total magnetization is 0.00 μB per cell.

---

No. 2
Entry from the Alexandria database: a relaxed FeCuRe crystal (GGA-PBE). Values from VASP.

```
&SYSTEM
  ibrav = 0, nat = 3, ntyp = 3
/
ATOMIC_SPECIES
Cu 63.55 Cu.upf
Fe 55.84 Fe.upf
Re 186.21 Re.upf
CELL_PARAMETERS angstrom
5.627 0.000 0.000
4.345 3.575 0.000
-4.986 -1.787 1.899
ATOMIC_POSITIONS angstrom
Cu 9.907 3.552 0.000
Fe 3.301 1.184 0.000
Re 6.735 2.414 0.000
```

Calculated values
The calculation puts the formation energy at 0.2462 eV per atom. Its total magnetization is 1.05 μB per cell. The polymorph energy (0 for the lowest one) comes out at 27 meV/atom.

---

No. 3
Entry from the Alexandria database: a relaxed Mo2AsP crystal (GGA-PBE). Values from VASP.

```
&SYSTEM
  ibrav = 0, nat = 4, ntyp = 3
/
ATOMIC_SPECIES
As 74.92 As.upf
Mo 95.94 Mo.upf
P 30.97 P.upf
CELL_PARAMETERS angstrom
4.076 -0.016 0.011
2.921 2.843 0.011
1.218 0.492 5.395
ATOMIC_POSITIONS angstrom
As 2.054 0.830 1.355
Mo 1.192 0.481 5.193
Mo 4.133 1.670 2.911
P 6.161 2.489 4.064
```

Calculated values
The calculation puts the formation energy at -0.0307 eV per atom. Its total magnetization is 0.00 μB per cell. The polymorph energy (0 for the lowest one) comes out at 377 meV/atom.

---

No. 4
Entry from the Alexandria database: a relaxed Pm2SiSbRh6 crystal (GGA-PBE). Values from VASP.

```
&SYSTEM
  ibrav = 0, nat = 10, ntyp = 4
/
ATOMIC_SPECIES
Pm 145.00 Pm.upf
Si 28.09 Si.upf
Sb 121.76 Sb.upf
Rh 102.91 Rh.upf
CELL_PARAMETERS angstrom
-2.515 5.531 1.195
-2.311 -2.328 6.453
1.264 2.832 6.506
ATOMIC_POSITIONS angstrom
Pm -1.804 4.967 5.724
Pm -1.759 1.067 8.429
Si -2.413 1.601 3.824
Sb 0.000 0.000 0.000
Rh -0.413 2.364 4.583
Rh -2.544 5.376 11.838
Rh -1.159 2.292 11.079
Rh -2.404 3.742 3.075
Rh -1.019 0.658 2.316
Rh -3.149 3.670 9.570
```

Calculated values
Its total energy is -68.491 eV for the cell shown. Its total magnetization is 0.00 μB per cell.

---

No. 5
Entry from the Alexandria database: a relaxed Dy4Tl3Co crystal (GGA-PBE). Values from VASP.

```
&SYSTEM
  ibrav = 0, nat = 8, ntyp = 3
/
ATOMIC_SPECIES
Tl 204.38 Tl.upf
Co 58.93 Co.upf
Dy 162.50 Dy.upf
CELL_PARAMETERS angstrom
3.549 0.000 0.000
0.000 3.549 0.000
0.000 0.000 15.983
ATOMIC_POSITIONS angstrom
Tl 1.774 1.774 3.759
Tl 1.774 1.774 7.991
Tl 1.774 1.774 12.223
Co 1.774 1.774 0.000
Dy 0.000 0.000 14.386
Dy 0.000 0.000 1.596
Dy 0.000 0.000 5.855
Dy 0.000 0.000 10.127
```

Calculated values
The calculation puts the formation energy at -0.2920 eV per atom. Its total magnetization is 0.50 μB per cell.

---

No. 6
Entry from the Alexandria database: a relaxed ZrTaNi4 crystal (GGA-PBE). Values from VASP.

```
&SYSTEM
  ibrav = 0, nat = 6, ntyp = 3
/
ATOMIC_SPECIES
Zr 91.22 Zr.upf
Ta 180.95 Ta.upf
Ni 58.69 Ni.upf
CELL_PARAMETERS angstrom
0.000 3.440 3.440
3.440 0.000 3.440
3.440 3.440 0.000
ATOMIC_POSITIONS angstrom
Zr 0.000 0.000 0.000
Ta 5.160 5.160 5.160
Ni 2.583 4.297 4.297
Ni 4.297 4.297 2.583
Ni 4.297 2.583 4.297
Ni 2.583 2.583 2.583
```

Calculated values
The calculation puts the formation energy at -0.2903 eV per atom. Its total magnetization is 0.00 μB per cell.

---

No. 7
Entry from the Alexandria database: a relaxed CuNi2W crystal (GGA-PBE). Values from VASP.

```
&SYSTEM
  ibrav = 0, nat = 4, ntyp = 3
/
ATOMIC_SPECIES
Cu 63.55 Cu.upf
Ni 58.69 Ni.upf
W 183.84 W.upf
CELL_PARAMETERS angstrom
-3.038 -2.508 -1.981
1.715 -4.053 -0.275
-0.378 2.682 3.480
ATOMIC_POSITIONS angstrom
Cu -2.038 -1.554 0.185
Ni 0.000 0.000 0.000
Ni -0.662 -3.281 -1.128
W 0.338 -2.326 1.039
```

Calculated values
The calculation puts the formation energy at 0.0941 eV per atom. Its total magnetization is 0.01 μB per cell. The polymorph energy (0 for the lowest one) comes out at 82 meV/atom.

---

No. 8
Entry from the Alexandria database: a relaxed KPb3Au8 crystal (GGA-PBE). Values from VASP.

```
&SYSTEM
  ibrav = 0, nat = 12, ntyp = 3
/
ATOMIC_SPECIES
K 39.10 K.upf
Pb 207.20 Pb.upf
Au 196.97 Au.upf
CELL_PARAMETERS angstrom
5.502 0.000 1.661
2.500 4.901 1.661
-0.017 -0.010 9.998
ATOMIC_POSITIONS angstrom
K 6.997 4.285 6.651
Pb 2.987 1.829 9.992
Pb -0.006 -0.004 9.964
Pb 3.977 2.436 6.712
Au 6.259 2.143 4.142
Au 4.731 4.587 9.172
Au 3.499 2.143 3.308
Au 7.489 4.587 10.004
Au 1.495 0.916 4.991
Au 5.484 3.359 11.662
Au 4.753 4.601 4.142
Au 6.236 2.130 9.172
```

Calculated values
The calculation puts the formation energy at -0.0956 eV per atom. Its total magnetization is 0.00 μB per cell. The polymorph energy (0 for the lowest one) comes out at 0 meV/atom.